[1]
Pm3Pr7Sm | PBE | optimized geometry

Cell: 13.009 11.521 6.039 Å, 90.00 117.58 90.00°
Space group C2/m (No. 12)
One atom of each set of equivalent atoms:
Pm 0.000 0.000 0.000 [2 per cell]
Pm 0.000 0.207 0.500 [4 per cell]
Pr 0.000 0.500 0.500 [2 per cell]
Pr 0.198 0.204 0.199 [8 per cell]
Pr 0.209 0.000 0.709 [4 per cell]
Sm 0.000 0.500 0.000 [2 per cell]

Calculated values
Electronic total energy (eV per atom): -4.5551
M_tot (Bohr magnetons per cell): 0.00
ΔE_f (eV per atom): 0.21


[2]
InGe2I2 | PBE | optimized geometry

Cell: 6.108 6.108 8.708 Å, 90.00 90.00 90.00°
Space group I4/mmm (No. 139)
One atom of each set of equivalent atoms:
In 0.000 0.000 0.000 [2 per cell]
Ge 0.000 0.000 0.349 [4 per cell]
I 0.000 0.500 0.250 [4 per cell]

Calculated values
Electronic total energy (eV per atom): -2.8598
M_tot (Bohr magnetons per cell): 0.00


What is the formula in the second record?
InGe2I2